Record 1
Computed, not measured: crystalline LaInCu5 at its relaxed geometry at the PBE level of DFT.

Structure (CIF):
```
data_LaInCu5
_chemical_formula_sum 'La8 In8 Cu40'
_symmetry_space_group_name_H-M 'P 1'
_symmetry_Int_Tables_number 1
_symmetry_space_group_name_Hall 'P 1'
_cell_length_a 16.772
_cell_length_b 10.600
_cell_length_c 5.069
_cell_angle_alpha 90.00
_cell_angle_beta 90.00
_cell_angle_gamma 90.00
loop_
_atom_site_label
_atom_site_type_symbol
_atom_site_fract_x
_atom_site_fract_y
_atom_site_fract_z
Cu1 Cu 0.085 0.041 0.500
Cu2 Cu 0.408 0.744 0.250
Cu3 Cu 0.034 0.811 0.500
Cu4 Cu 0.341 0.367 0.250
Cu5 Cu 0.159 0.867 0.250
Cu6 Cu 0.841 0.133 0.750
Cu7 Cu 0.831 0.928 0.000
Cu8 Cu 0.097 0.449 0.000
Cu9 Cu 0.966 0.189 0.500
Cu10 Cu 0.784 0.700 0.000
Cu11 Cu 0.597 0.051 0.500
Cu12 Cu 0.592 0.256 0.750
Cu13 Cu 0.216 0.300 0.000
Cu14 Cu 0.534 0.689 0.000
Cu15 Cu 0.092 0.244 0.750
Cu16 Cu 0.284 0.800 0.500
Cu17 Cu 0.331 0.572 0.500
Cu18 Cu 0.153 0.663 0.500
Cu19 Cu 0.841 0.133 0.250
Cu20 Cu 0.408 0.744 0.750
Cu21 Cu 0.908 0.756 0.750
Cu22 Cu 0.415 0.541 0.000
Cu23 Cu 0.903 0.551 0.000
Cu24 Cu 0.347 0.163 0.000
Cu25 Cu 0.716 0.200 0.500
Cu26 Cu 0.847 0.337 0.500
Cu27 Cu 0.169 0.072 0.000
Cu28 Cu 0.653 0.837 0.000
Cu29 Cu 0.659 0.633 0.250
Cu30 Cu 0.159 0.867 0.750
Cu31 Cu 0.659 0.633 0.750
Cu32 Cu 0.592 0.256 0.250
Cu33 Cu 0.585 0.459 0.000
Cu34 Cu 0.466 0.311 0.000
Cu35 Cu 0.092 0.244 0.250
Cu36 Cu 0.908 0.756 0.250
Cu37 Cu 0.341 0.367 0.750
Cu38 Cu 0.915 0.959 0.500
Cu39 Cu 0.669 0.428 0.500
Cu40 Cu 0.403 0.949 0.500
In1 In 0.194 0.418 0.500
In2 In 0.447 0.193 0.500
In3 In 0.947 0.307 0.000
In4 In 0.053 0.693 0.000
In5 In 0.806 0.582 0.500
In6 In 0.553 0.807 0.500
In7 In 0.694 0.082 0.000
In8 In 0.306 0.918 0.000
La1 La 0.000 0.500 0.500
La2 La 0.500 0.500 0.500
La3 La 0.745 0.884 0.500
La4 La 0.500 0.000 0.000
La5 La 0.245 0.616 0.000
La6 La 0.255 0.116 0.500
La7 La 0.000 0.000 0.000
La8 La 0.755 0.384 0.000
```

Output
Symmetry: No. 58
Raw total energy (eV/atom): -3.97



Record 2
Computed, not measured: crystalline LaIn2Cu9 at its relaxed geometry at the PBE level of DFT.

Structure (CIF):
```
data_LaIn2Cu9
_chemical_formula_sum 'La2 In4 Cu18'
_symmetry_space_group_name_H-M 'P 1'
_symmetry_Int_Tables_number 1
_symmetry_space_group_name_Hall 'P 1'
_cell_length_a 8.533
_cell_length_b 8.533
_cell_length_c 5.020
_cell_angle_alpha 90.00
_cell_angle_beta 90.00
_cell_angle_gamma 90.00
loop_
_atom_site_label
_atom_site_type_symbol
_atom_site_fract_x
_atom_site_fract_y
_atom_site_fract_z
In1 In 0.877 0.377 0.000
In2 In 0.623 0.877 0.000
In3 In 0.377 0.123 0.000
In4 In 0.123 0.623 0.000
Cu1 Cu 0.675 0.175 0.248
Cu2 Cu 0.675 0.175 0.752
Cu3 Cu 0.175 0.325 0.248
Cu4 Cu 0.500 0.000 0.500
Cu5 Cu 0.000 0.500 0.500
Cu6 Cu 0.293 0.567 0.500
Cu7 Cu 0.793 0.933 0.500
Cu8 Cu 0.825 0.675 0.248
Cu9 Cu 0.433 0.293 0.500
Cu10 Cu 0.567 0.707 0.500
Cu11 Cu 0.067 0.793 0.500
Cu12 Cu 0.175 0.325 0.752
Cu13 Cu 0.325 0.825 0.248
Cu14 Cu 0.707 0.433 0.500
Cu15 Cu 0.207 0.067 0.500
Cu16 Cu 0.325 0.825 0.752
Cu17 Cu 0.933 0.207 0.500
Cu18 Cu 0.825 0.675 0.752
La1 La 0.500 0.500 0.000
La2 La 0.000 0.000 0.000
```

Output
Symmetry: No. 127
Raw total energy (eV/atom): -3.80



Record 3
Computed, not measured: crystalline Li2LaMgIn2Cu2 at its relaxed geometry at the PBE level of DFT.

Structure (CIF):
```
data_Li2LaMgIn2Cu2
_chemical_formula_sum 'Li2 La1 Mg1 In2 Cu2'
_symmetry_space_group_name_H-M 'P 1'
_symmetry_Int_Tables_number 1
_symmetry_space_group_name_Hall 'P 1'
_cell_length_a 4.745
_cell_length_b 4.745
_cell_length_c 6.847
_cell_angle_alpha 90.00
_cell_angle_beta 90.00
_cell_angle_gamma 90.00
loop_
_atom_site_label
_atom_site_type_symbol
_atom_site_fract_x
_atom_site_fract_y
_atom_site_fract_z
Mg1 Mg 0.000 0.000 0.500
Li1 Li 0.500 0.000 0.715
Li2 Li 0.000 0.500 0.285
In1 In 0.000 0.000 0.000
In2 In 0.500 0.500 0.500
Cu1 Cu 0.000 0.500 0.726
Cu2 Cu 0.500 0.000 0.274
La1 La 0.500 0.500 0.000
```

Output
Symmetry: No. 115
Raw total energy (eV/atom): -3.10



Record 4
Computed, not measured: crystalline LaNd2In3CuPd2 at its relaxed geometry at the PBE level of DFT.

Structure (CIF):
```
data_LaNd2In3CuPd2
_chemical_formula_sum 'La1 Nd2 In3 Cu1 Pd2'
_symmetry_space_group_name_H-M 'P 1'
_symmetry_Int_Tables_number 1
_symmetry_space_group_name_Hall 'P 1'
_cell_length_a 4.032
_cell_length_b 7.783
_cell_length_c 7.783
_cell_angle_alpha 119.59
_cell_angle_beta 90.00
_cell_angle_gamma 90.00
loop_
_atom_site_label
_atom_site_type_symbol
_atom_site_fract_x
_atom_site_fract_y
_atom_site_fract_z
Nd1 Nd 0.000 0.001 0.413
Nd2 Nd 0.000 0.413 0.001
Pd1 Pd 0.500 0.667 0.335
Pd2 Pd 0.500 0.335 0.667
In1 In 0.500 0.003 0.753
In2 In 0.500 0.753 0.003
In3 In 0.500 0.244 0.244
La1 La 0.000 0.585 0.585
Cu1 Cu 0.000 0.000 0.000
```

Output
Symmetry: No. 38
Raw total energy (eV/atom): -4.76



Record 5
Computed, not measured: crystalline LaNd2In3CuPt2 at its relaxed geometry at the PBE level of DFT.

Structure (CIF):
```
data_LaNd2In3CuPt2
_chemical_formula_sum 'La1 Nd2 In3 Cu1 Pt2'
_symmetry_space_group_name_H-M 'P 1'
_symmetry_Int_Tables_number 1
_symmetry_space_group_name_Hall 'P 1'
_cell_length_a 3.991
_cell_length_b 7.789
_cell_length_c 7.789
_cell_angle_alpha 119.82
_cell_angle_beta 90.00
_cell_angle_gamma 90.00
loop_
_atom_site_label
_atom_site_type_symbol
_atom_site_fract_x
_atom_site_fract_y
_atom_site_fract_z
Nd1 Nd 0.000 0.000 0.412
Nd2 Nd 0.000 0.412 0.000
Pt1 Pt 0.500 0.667 0.335
Pt2 Pt 0.500 0.335 0.667
La1 La 0.000 0.586 0.586
Cu1 Cu 0.000 0.000 0.000
In1 In 0.500 0.003 0.752
In2 In 0.500 0.245 0.245
In3 In 0.500 0.752 0.003
```

Output
Symmetry: No. 38
Raw total energy (eV/atom): -5.08



Record 6
Computed, not measured: crystalline La2NdIn3CuPt2 at its relaxed geometry at the PBE level of DFT.

Structure (CIF):
```
data_La2NdIn3CuPt2
_chemical_formula_sum 'La2 Nd1 In3 Cu1 Pt2'
_symmetry_space_group_name_H-M 'P 1'
_symmetry_Int_Tables_number 1
_symmetry_space_group_name_Hall 'P 1'
_cell_length_a 4.030
_cell_length_b 7.842
_cell_length_c 7.842
_cell_angle_alpha 120.24
_cell_angle_beta 90.00
_cell_angle_gamma 90.00
loop_
_atom_site_label
_atom_site_type_symbol
_atom_site_fract_x
_atom_site_fract_y
_atom_site_fract_z
La1 La 0.000 0.416 0.000
La2 La 0.000 0.000 0.416
Nd1 Nd 0.000 0.586 0.586
Cu1 Cu 0.000 0.000 0.000
Pt1 Pt 0.500 0.666 0.332
Pt2 Pt 0.500 0.332 0.666
In1 In 0.500 0.755 0.997
In2 In 0.500 0.997 0.755
In3 In 0.500 0.248 0.248
```

Output
Symmetry: No. 38
Raw total energy (eV/atom): -5.11



Record 7
Computed, not measured: crystalline LaIn5CuNi at its relaxed geometry at the PBE level of DFT.

Structure (CIF):
```
data_LaIn5CuNi
_chemical_formula_sum 'La1 In5 Cu1 Ni1'
_symmetry_space_group_name_H-M 'P 1'
_symmetry_Int_Tables_number 1
_symmetry_space_group_name_Hall 'P 1'
_cell_length_a 6.911
_cell_length_b 6.911
_cell_length_c 6.911
_cell_angle_alpha 143.36
_cell_angle_beta 111.15
_cell_angle_gamma 80.60
loop_
_atom_site_label
_atom_site_type_symbol
_atom_site_fract_x
_atom_site_fract_y
_atom_site_fract_z
In1 In 0.853 0.652 0.201
In2 In 0.537 0.344 0.193
In3 In 0.500 0.000 0.500
In4 In 0.451 0.652 0.799
In5 In 0.152 0.344 0.807
La1 La 0.001 0.001 0.000
Cu1 Cu 0.751 0.251 0.500
Ni1 Ni 0.256 0.756 0.500
```

Output
Symmetry: No. 44
Raw total energy (eV/atom): -3.73



Record 8
Computed, not measured: crystalline LaIn2CuNi at its relaxed geometry at the PBE level of DFT.

Structure (CIF):
```
data_LaIn2CuNi
_chemical_formula_sum 'La2 In4 Cu2 Ni2'
_symmetry_space_group_name_H-M 'P 1'
_symmetry_Int_Tables_number 1
_symmetry_space_group_name_Hall 'P 1'
_cell_length_a 4.543
_cell_length_b 4.543
_cell_length_c 10.324
_cell_angle_alpha 90.00
_cell_angle_beta 90.00
_cell_angle_gamma 90.00
loop_
_atom_site_label
_atom_site_type_symbol
_atom_site_fract_x
_atom_site_fract_y
_atom_site_fract_z
In1 In 0.500 0.500 0.500
In2 In 0.500 0.000 0.129
In3 In 0.000 0.500 0.871
In4 In 0.000 0.000 0.500
La1 La 0.000 0.500 0.245
La2 La 0.500 0.000 0.755
Ni1 Ni 0.000 0.500 0.629
Ni2 Ni 0.500 0.000 0.371
Cu1 Cu 0.500 0.500 0.000
Cu2 Cu 0.000 0.000 0.000
```

Output
Symmetry: No. 129
Raw total energy (eV/atom): -4.26



Record 9
Computed, not measured: crystalline La3In3Cu2Pd at its relaxed geometry at the PBE level of DFT.

Structure (CIF):
```
data_La3In3Cu2Pd
_chemical_formula_sum 'La3 In3 Cu2 Pd1'
_symmetry_space_group_name_H-M 'P 1'
_symmetry_Int_Tables_number 1
_symmetry_space_group_name_Hall 'P 1'
_cell_length_a 7.739
_cell_length_b 7.739
_cell_length_c 4.180
_cell_angle_alpha 90.00
_cell_angle_beta 90.00
_cell_angle_gamma 120.00
loop_
_atom_site_label
_atom_site_type_symbol
_atom_site_fract_x
_atom_site_fract_y
_atom_site_fract_z
Cu1 Cu 0.333 0.667 0.000
Cu2 Cu 0.667 0.333 0.000
In1 In 0.000 0.248 0.000
In2 In 0.752 0.752 0.000
In3 In 0.248 0.000 0.000
La1 La 0.415 0.415 0.500
La2 La 0.000 0.585 0.500
La3 La 0.585 0.000 0.500
Pd1 Pd 0.000 0.000 0.500
```

Output
Symmetry: No. 189
Raw total energy (eV/atom): -4.48



Record 10
Computed, not measured: crystalline La3In3CuPd2 at its relaxed geometry at the PBE level of DFT.

Structure (CIF):
```
data_La3In3CuPd2
_chemical_formula_sum 'La3 In3 Cu1 Pd2'
_symmetry_space_group_name_H-M 'P 1'
_symmetry_Int_Tables_number 1
_symmetry_space_group_name_Hall 'P 1'
_cell_length_a 7.790
_cell_length_b 7.790
_cell_length_c 4.147
_cell_angle_alpha 90.00
_cell_angle_beta 90.00
_cell_angle_gamma 120.00
loop_
_atom_site_label
_atom_site_type_symbol
_atom_site_fract_x
_atom_site_fract_y
_atom_site_fract_z
La1 La 0.414 0.414 0.500
La2 La 0.586 0.000 0.500
La3 La 0.000 0.586 0.500
Pd1 Pd 0.667 0.333 0.000
Pd2 Pd 0.333 0.667 0.000
In1 In 0.000 0.243 0.000
In2 In 0.757 0.757 0.000
In3 In 0.243 0.000 0.000
Cu1 Cu 0.000 0.000 0.500
```

Output
Symmetry: No. 189
Raw total energy (eV/atom): -4.82